[1]
The following is a GGA-PBE calculation of a geometry-optimized LiSm2Pt2 structure, from the Alexandria database.

a = 4.333 Å, b = 5.616 Å, c = 5.616 Å
α = 62.08°, β = 67.31°, γ = 67.31°
Element x y z (fractional)
Pt: 0.000 0.242 0.258
Pt: 0.000 0.758 0.742
Li: 0.500 0.500 0.000
Sm: 0.699 0.801 0.301
Sm: 0.301 0.199 0.699

Calculated values
Its total magnetization is 0.00 Bohr magnetons per cell. The space-group type is Immm, No. 71. Its formation enthalpy at 0 K is -0.94 eV per atom. As for the crystal system: orthorhombic. For the energy relative to the lowest polymorph listed for this composition, the calculation gives 0.000 eV per formula unit.

[2]
The following is a GGA-PBE calculation of a geometry-optimized Cs2CeCdCl6 structure, from the Alexandria database.

a = 8.048 Å, b = 8.049 Å, c = 11.377 Å
α = 90.00°, β = 90.00°, γ = 90.00°
Element x y z (fractional)
Cl: 0.259 0.016 0.000
Cl: 0.759 0.984 0.500
Cl: 0.000 0.744 0.260
Cd: 0.000 0.754 0.000
Cd: 0.500 0.246 0.500
Cl: 0.500 0.256 0.240
Cl: 0.739 0.496 0.000
Cl: 0.239 0.504 0.500
Cl: 0.000 0.744 0.740
Cl: 0.500 0.256 0.760
Cl: 0.761 0.504 0.500
Cs: 0.500 0.746 0.749
Cl: 0.741 0.016 0.000
Cs: 0.500 0.746 0.251
Ce: 0.500 0.254 0.000
Cs: 0.000 0.254 0.751
Ce: 0.000 0.746 0.500
Cs: 0.000 0.254 0.249
Cl: 0.261 0.496 0.000
Cl: 0.241 0.984 0.500

Calculated values
Its total magnetization is 2.67 Bohr magnetons per cell. The space-group type is Pmmn, No. 59. As for the crystal system: orthorhombic. Its uncorrected formation energy is -1789 meV per atom.

[3]
The following is a GGA-PBE calculation of a geometry-optimized CaNd4Rh5 structure, from the Alexandria database.

a = 3.553 Å, b = 3.553 Å, c = 17.339 Å
α = 90.00°, β = 90.00°, γ = 90.00°
Element x y z (fractional)
Nd: 0.000 0.000 0.601
Nd: 0.000 0.000 0.197
Ca: 0.000 0.000 0.000
Rh: 0.500 0.500 0.500
Nd: 0.000 0.000 0.399
Rh: 0.500 0.500 0.895
Rh: 0.500 0.500 0.700
Rh: 0.500 0.500 0.105
Rh: 0.500 0.500 0.300
Nd: 0.000 0.000 0.803

Calculated values
Its total magnetization is 0.00 Bohr magnetons per cell. The space-group type is P4/mmm, No. 123. Its formation enthalpy at 0 K is -0.59 eV per atom. As for the crystal system: tetragonal.